# 1
Computed, not measured: a relaxed structure of CeTcPd at the PBE-GGA level of DFT.

Computed properties:
Crystal system = orthorhombic
DOS(E_F) = 4.01 states/eV/f.u.
Energy of formation = 0.28 eV per formula unit
Spin magnetization = 0.000 μB per atom

Lattice parameters (Å, degrees): 14.436 2.931 5.032 90.00 90.00 90.00
Sites, in units of the cell vectors:
Ce (0.170, 0.000, 0.000)
Ce (0.170, 0.500, 0.500)
Ce (0.830, 0.000, 0.000)
Ce (0.830, 0.500, 0.500)
Tc (0.000, 0.000, 0.817)
Tc (0.000, 0.500, 0.317)
Tc (0.500, 0.000, 0.974)
Tc (0.500, 0.500, 0.474)
Pd (0.352, 0.000, 0.638)
Pd (0.352, 0.500, 0.138)
Pd (0.648, 0.000, 0.638)
Pd (0.648, 0.500, 0.138)

# 2
Computed, not measured: a relaxed structure of MgCdH6Pt2 at the PBE-GGA level of DFT.

Computed properties:
Energy = -3.5687 eV per atom
Crystal system = monoclinic
DOS(E_F) = 1.34 states/eV/f.u.
Spin magnetization = 0.000 μB per atom

Lattice parameters (Å, degrees): 6.226 6.226 6.084 111.01 111.01 81.05
Sites, in units of the cell vectors:
Mg (0.142, 0.858, 0.750)
Mg (0.858, 0.142, 0.250)
Cd (0.338, 0.662, 0.250)
Cd (0.662, 0.338, 0.750)
H (0.040, 0.848, 0.381)
H (0.152, 0.960, 0.119)
H (0.237, 0.271, 0.487)
H (0.271, 0.237, 0.987)
H (0.317, 0.580, 0.864)
H (0.420, 0.683, 0.636)
H (0.580, 0.317, 0.364)
H (0.683, 0.420, 0.136)
H (0.729, 0.763, 0.013)
H (0.763, 0.729, 0.513)
H (0.848, 0.040, 0.881)
H (0.960, 0.152, 0.619)
Pt (0.137, 0.368, 0.745)
Pt (0.368, 0.137, 0.245)
Pt (0.632, 0.863, 0.755)
Pt (0.863, 0.632, 0.255)

# 3
Computed, not measured: a relaxed structure of Li2NpPb3Se6 at the PBE-GGA level of DFT.

Computed properties:
Crystal system = monoclinic
DOS(E_F) = 5.01 states/eV/f.u.
Raw formation energy = -847 meV per atom
Spin magnetization = 0.250 μB per atom

Lattice parameters (Å, degrees): 7.247 7.247 7.401 99.13 99.13 120.02
Sites, in units of the cell vectors:
Li (0.175, 0.825, 0.000)
Li (0.825, 0.175, 0.000)
Np (0.500, 0.500, 0.000)
Pb (0.000, 0.000, 0.500)
Pb (0.335, 0.665, 0.500)
Pb (0.665, 0.335, 0.500)
Se (0.099, 0.423, 0.780)
Se (0.254, 0.254, 0.235)
Se (0.423, 0.099, 0.780)
Se (0.577, 0.901, 0.220)
Se (0.746, 0.746, 0.765)
Se (0.901, 0.577, 0.220)

Question: The lowest DOS(E_F) belongs to which entry?
Answer: MgCdH6Pt2